Entry from Alexandria: an optimized crystal structure of LaCoO3 (PBE+U).

Output
VASP energy in eV for the cell shown: -71.63
DOS(E_F) in states/eV per atom: 0.00
Magnetization in μB/atom: 0.000
Space-group type: No. 15

a = 4.9083 Å, b = 5.3188 Å, c = 5.3188 Å
α = 119.66°, β = 95.74°, γ = 95.74°
With the nearest neighbours (Å) after each atom.
Atoms (fractional coordinates):
Co  0.5000  0.5000  0.5000  6 O 1.90-1.95
Co  0.0000  0.5000  0.5000  6 O 1.90-1.95
O  0.1889  0.1745  0.3342  2 Co 1.90-1.95
O  0.6889  0.3342  0.1745  2 Co 1.90-1.95
O  0.7500  0.3384  0.6616  2 Co 1.93
O  0.2500  0.6616  0.3384  2 Co 1.93
O  0.3111  0.6658  0.8255  2 Co 1.90-1.95
O  0.8111  0.8255  0.6658  2 Co 1.90-1.95
La  0.2500  0.1662  0.8338  8 O 2.44-2.69
La  0.7500  0.8338  0.1662  8 O 2.44-2.69